The following is a SCAN calculation of a crystal of Mo2RuSe relaxed with PBEsol, from the Alexandria database.

Summary:
Energy relative to the elements, uncorrected: 361 meV/atom

Cell: 3.708 3.708 5.028 Å, 111.64 111.64 90.00°
Atoms (fractional coordinates):
Mo: 0.750 0.250 0.500
Mo: 0.250 0.750 0.500
Ru: 0.500 0.500 0.000
Se: 0.000 0.000 0.000

=====

The following is a SCAN calculation of a crystal of Mo2RuSe4 relaxed with PBEsol, from the Alexandria database.

Summary:
Energy relative to the elements, uncorrected: -585 meV/atom

Cell: 6.602 6.613 6.630 Å, 92.34 92.58 94.11°
Atoms (fractional coordinates):
Mo: 0.771 0.588 0.451
Mo: 0.417 0.550 0.232
Mo: 0.545 0.234 0.411
Mo: 0.232 0.412 0.546
Ru: 0.584 0.450 0.768
Ru: 0.454 0.770 0.588
Se: 0.778 0.783 0.786
Se: 0.208 0.212 0.213
Se: 0.868 0.262 0.630
Se: 0.272 0.622 0.871
Se: 0.629 0.879 0.272
Se: 0.133 0.740 0.369
Se: 0.742 0.374 0.121
Se: 0.367 0.123 0.741

=====

The following is a SCAN calculation of a crystal of Mo2RuSe4 relaxed with PBEsol, from the Alexandria database.

Summary:
Energy relative to the elements, uncorrected: -633 meV/atom

Cell: 6.592 6.603 6.680 Å, 91.69 94.31 93.84°
Atoms (fractional coordinates):
Mo: 0.230 0.541 0.410
Mo: 0.417 0.232 0.553
Mo: 0.770 0.459 0.590
Mo: 0.583 0.768 0.447
Ru: 0.549 0.413 0.233
Ru: 0.451 0.587 0.767
Se: 0.219 0.211 0.213
Se: 0.781 0.789 0.787
Se: 0.371 0.724 0.116
Se: 0.131 0.367 0.736
Se: 0.737 0.132 0.376
Se: 0.629 0.276 0.884
Se: 0.869 0.633 0.264
Se: 0.263 0.868 0.624

=====

The following is a SCAN calculation of a crystal of MoRu2Se relaxed with PBEsol, from the Alexandria database.

Summary:
Energy relative to the elements, uncorrected: 271 meV/atom

Cell: 2.848 4.483 4.776 Å, 92.81 107.34 90.00°
Atoms (fractional coordinates):
Mo: 0.000 0.500 0.000
Ru: 0.269 0.263 0.539
Ru: 0.731 0.737 0.461
Se: 0.500 0.000 0.000

=====

The following is a SCAN calculation of a crystal of Mo2RuSe relaxed with PBEsol, from the Alexandria database.

Summary:
Energy relative to the elements, uncorrected: 383 meV/atom

Cell: 2.884 4.849 4.849 Å, 114.75 97.77 97.77°
Atoms (fractional coordinates):
Mo: 0.000 0.500 0.000
Mo: 0.000 0.000 0.500
Ru: 0.500 0.000 0.000
Se: 0.500 0.500 0.500

=====

The following is a SCAN calculation of a crystal of Mo2RuSe relaxed with PBEsol, from the Alexandria database.

Summary:
Energy relative to the elements, uncorrected: 154 meV/atom

Cell: 3.063 3.063 6.371 Å, 90.00 90.00 90.00°
Atoms (fractional coordinates):
Mo: 0.000 0.000 0.987
Mo: 0.500 0.500 0.260
Ru: 0.000 0.000 0.486
Se: 0.500 0.500 0.767

=====

The following is a SCAN calculation of a crystal of Si2MoRu relaxed with PBEsol, from the Alexandria database.

Summary:
Energy relative to the elements, uncorrected: -395 meV/atom

Cell: 2.941 2.941 6.010 Å, 90.00 90.00 90.00°
Atoms (fractional coordinates):
Mo: 0.500 0.500 0.000
Ru: 0.500 0.500 0.500
Si: 0.000 0.000 0.741
Si: 0.000 0.000 0.259

=====

The following is a SCAN calculation of a crystal of SiMo2Ru relaxed with PBEsol, from the Alexandria database.

Summary:
Energy relative to the elements, uncorrected: -149 meV/atom

Cell: 2.764 4.217 4.890 Å, 90.00 98.28 90.00°
Atoms (fractional coordinates):
Mo: 0.967 0.000 0.980
Mo: 0.762 0.500 0.263
Ru: 0.382 0.000 0.500
Si: 0.389 0.500 0.756

=====

The following is a SCAN calculation of a crystal of SiMo2Ru relaxed with PBEsol, from the Alexandria database.

Summary:
Energy relative to the elements, uncorrected: -284 meV/atom

Cell: 3.097 4.129 5.037 Å, 114.20 107.91 90.00°
Atoms (fractional coordinates):
Ru: 0.500 0.000 0.000
Mo: 0.744 0.744 0.488
Mo: 0.256 0.256 0.512
Si: 0.000 0.500 0.000

=====

The following is a SCAN calculation of a crystal of Si2MoRu relaxed with PBEsol, from the Alexandria database.

Summary:
Energy relative to the elements, uncorrected: -341 meV/atom

Cell: 2.933 3.772 5.558 Å, 109.83 105.30 90.00°
Atoms (fractional coordinates):
Mo: 0.536 0.536 0.072
Ru: 0.278 0.778 0.556
Si: 0.971 0.971 0.942
Si: 0.714 0.214 0.429

=====

The following is a SCAN calculation of a crystal of SrSi2MoRu relaxed with PBEsol, from the Alexandria database.

Summary:
Energy relative to the elements, uncorrected: 2670 meV/atom

Cell: 4.624 5.076 5.076 Å, 90.00 90.00 90.00°
Atoms (fractional coordinates):
Ru: 0.500 0.000 0.000
Mo: 0.500 0.500 0.500
Si: 0.000 0.000 0.500
Si: 0.000 0.500 0.000
Sr: 0.000 0.000 0.000

=====

The following is a SCAN calculation of a crystal of SnMoRu3 relaxed with PBEsol, from the Alexandria database.

Summary:
Formation energy: 2.177 eV/atom

Cell: 4.667 4.667 4.667 Å, 90.00 90.00 90.00°
Atoms (fractional coordinates):
Ru: 0.000 0.500 0.000
Ru: 0.000 0.000 0.500
Ru: 0.500 0.000 0.000
Mo: 0.500 0.500 0.500
Sn: 0.000 0.000 0.000

=====

The following is a SCAN calculation of a crystal of SrMoRu relaxed with PBEsol, from the Alexandria database.

Summary:
Formation energy: 0.491 eV/atom

Cell: 3.200 3.200 6.470 Å, 104.32 104.32 90.00°
Atoms (fractional coordinates):
Mo: 0.040 0.040 0.080
Ru: 0.629 0.629 0.258
Sr: 0.331 0.331 0.661

=====

The following is a SCAN calculation of a crystal of SrMo2Ru relaxed with PBEsol, from the Alexandria database.

Summary:
Formation energy: 1.032 eV/atom

Cell: 2.751 5.341 5.527 Å, 115.50 98.44 102.19°
Atoms (fractional coordinates):
Mo: 0.000 0.000 0.500
Mo: 0.500 0.500 0.500
Ru: 0.500 0.000 0.000
Sr: 0.000 0.500 0.000

=====

The following is a SCAN calculation of a crystal of SrMoRu2 relaxed with PBEsol, from the Alexandria database.

Summary:
Formation energy: 0.705 eV/atom

Cell: 2.761 2.761 9.073 Å, 90.00 90.00 90.00°
Atoms (fractional coordinates):
Mo: 0.500 0.500 0.792
Ru: 0.000 0.000 0.022
Ru: 0.500 0.500 0.202
Sr: 0.000 0.000 0.484

=====

The following is a SCAN calculation of a crystal of SrMo2Ru relaxed with PBEsol, from the Alexandria database.

Summary:
Formation energy: 0.667 eV/atom

Cell: 3.063 4.927 5.929 Å, 104.64 90.00 108.11°
Atoms (fractional coordinates):
Mo: 0.039 0.077 0.103
Mo: 0.749 0.498 0.255
Ru: 0.471 0.942 0.402
Sr: 0.241 0.483 0.740

=====

The following is a SCAN calculation of a crystal of Ta2MoRu relaxed with PBEsol, from the Alexandria database.

Summary:
Formation energy: -0.414 eV/atom

Cell: 3.166 3.166 6.327 Å, 90.00 90.00 90.00°
Atoms (fractional coordinates):
Ru: 0.500 0.500 0.500
Mo: 0.500 0.500 0.000
Ta: 0.000 0.000 0.753
Ta: 0.000 0.000 0.247

=====

The following is a SCAN calculation of a crystal of TaMo2Ru relaxed with PBEsol, from the Alexandria database.

Summary:
Formation energy: 0.049 eV/atom

Cell: 4.427 4.427 4.427 Å, 60.00 60.00 60.00°
Atoms (fractional coordinates):
Mo: 0.250 0.250 0.250
Mo: 0.750 0.750 0.750
Ru: 0.000 0.000 0.000
Ta: 0.500 0.500 0.500

=====

The following is a SCAN calculation of a crystal of Ta2MoRu relaxed with PBEsol, from the Alexandria database.

Summary:
Formation energy: 0.049 eV/atom

Cell: 3.021 3.021 8.463 Å, 79.72 79.72 60.00°
Atoms (fractional coordinates):
Mo: 0.500 0.500 0.500
Ru: 0.000 0.000 0.000
Ta: 0.250 0.250 0.249
Ta: 0.750 0.750 0.751

=====

The following is a SCAN calculation of a crystal of Ta2MoRu relaxed with PBEsol, from the Alexandria database.

Summary:
Formation energy: -0.452 eV/atom

Cell: 4.471 4.471 4.471 Å, 60.00 60.00 60.00°
Atoms (fractional coordinates):
Ru: 0.000 0.000 0.000
Mo: 0.500 0.500 0.500
Ta: 0.250 0.250 0.250
Ta: 0.750 0.750 0.750

=====

| no. | total moment (Bohr magnetons per cell) |
| --- | --- |
| 1 | 0.00 |
| 2 | 0.00 |
| 3 | 0.00 |
| 4 | 0.00 |
| 5 | 0.00 |
| 6 | 0.00 |
| 7 | 0.00 |
| 8 | 0.00 |
| 9 | 0.00 |
| 10 | 0.00 |
| 11 | 3.56 |
| 12 | 0.02 |
| 13 | 0.00 |
| 14 | 0.01 |
| 15 | 0.00 |
| 16 | 0.00 |
| 17 | 0.00 |
| 18 | 0.00 |
| 19 | 0.00 |
| 20 | 0.00 |